Entry 1:
Density functional theory data (GGA-PBE) for Sr2ScPt after structural relaxation.

abc: 6.8736 6.8736 5.7560
angles: 65.28 65.28 31.57
Last column: nearest neighbours and their distance in Å.
Sites, in units of the cell vectors:
1 Sr 0.8071 0.8071 0.6931  2 Pt 3.18
2 Sr 0.9973 0.9973 0.0027  4 Pt 3.44-3.45, 2 Sc 3.56, 4 Sr 3.66-3.74
3 Pt 0.5227 0.5227 0.4769  2 Sc 2.59
4 Sc 0.1728 0.1728 0.3273  2 Pt 2.59

Computed properties:
Total magnetic moment (μB per cell): 0.00
Symmetry: Imm2 (44)
DOS(E_F) (states/eV/atom): 1.072
Energy above the most stable polymorph in this dataset (eV per atom): 0.057
Formation energy from the elements (eV per atom): -0.40

=====

Entry 2:
Density functional theory data (GGA-PBE) for PuPd2Pb after structural relaxation.

abc: 4.8476 5.1710 13.6176
angles: 90.00 90.00 90.00
Last column: nearest neighbours and their distance in Å.
Sites, in units of the cell vectors:
1 Pb 0.2500 0.5493 0.8472  5 Pd 2.81-3.08
2 Pd 0.7500 0.4277 0.4557  6 Pd 2.81-3.05, 2 Pb 2.87-3.08, 3 Pu 2.98-3.03
3 Pd 0.2500 0.0725 0.4406  1 Pu 2.79, 3 Pb 2.81-2.89, 6 Pd 2.95-3.05
4 Pu 0.7500 0.4801 0.6737  4 Pd 2.79-3.03
5 Pb 0.7500 0.9507 0.3472  5 Pd 2.81-3.08
6 Pb 0.2500 0.0493 0.6528  5 Pd 2.81-3.08
7 Pu 0.2500 0.0199 0.1737  4 Pd 2.79-3.03
8 Pd 0.7500 0.9275 0.5594  1 Pu 2.79, 3 Pb 2.81-2.89, 6 Pd 2.95-3.05
9 Pb 0.7500 0.4507 0.1528  5 Pd 2.81-3.08
10 Pd 0.7500 0.4275 0.9406  1 Pu 2.79, 3 Pb 2.81-2.89, 6 Pd 2.95-3.05
11 Pd 0.7500 0.9277 0.0443  6 Pd 2.81-3.05, 2 Pb 2.87-3.08, 3 Pu 2.98-3.03
12 Pd 0.2500 0.5725 0.0594  1 Pu 2.79, 3 Pb 2.81-2.89, 6 Pd 2.95-3.05
13 Pu 0.7500 0.9801 0.8263  4 Pd 2.79-3.03
14 Pu 0.2500 0.5199 0.3263  4 Pd 2.79-3.03
15 Pd 0.2500 0.0723 0.9557  6 Pd 2.81-3.05, 2 Pb 2.87-3.08, 3 Pu 2.98-3.03
16 Pd 0.2500 0.5723 0.5443  6 Pd 2.81-3.05, 2 Pb 2.87-3.08, 3 Pu 2.98-3.03

Computed properties:
Total magnetic moment (μB per cell): 21.68
Symmetry: Pnma (62)
DOS(E_F) (states/eV/atom): 2.799
Formation energy from the elements (eV per atom): -0.31

=====

Entry 3:
Density functional theory data (GGA-PBE) for Y5Si2Te after structural relaxation.

abc: 7.7213 7.7213 8.7858
angles: 116.07 116.07 90.00
Last column: nearest neighbours and their distance in Å.
Sites, in units of the cell vectors:
1 Y 0.9799 0.4799 0.2787  3 Si 2.90-3.02
2 Y 0.0000 0.0000 0.0000  4 Si 2.98
3 Y 0.4799 0.2988 0.2787  3 Si 2.90-3.02
4 Si 0.8585 0.6415 0.0000  8 Y 2.90-3.02, 1 Si 3.09
5 Te 0.2500 0.2500 0.5000  10 Y 3.28-3.44
6 Y 0.0201 0.5201 0.7213  3 Si 2.90-3.02
7 Y 0.2988 0.7988 0.2787  3 Si 2.90-3.02
8 Si 0.3585 0.8585 0.0000  8 Y 2.90-3.02, 1 Si 3.09
9 Si 0.1415 0.3585 0.0000  8 Y 2.90-3.02, 1 Si 3.09
10 Y 0.7012 0.2012 0.7213  3 Si 2.90-3.02
11 Te 0.7500 0.7500 0.5000  10 Y 3.28-3.44
12 Y 0.7988 0.9799 0.2787  3 Si 2.90-3.02
13 Y 0.5201 0.7012 0.7213  3 Si 2.90-3.02
14 Y 0.2012 0.0201 0.7213  3 Si 2.90-3.02
15 Y 0.5000 0.5000 0.0000  4 Si 2.98
16 Si 0.6415 0.1415 0.0000  8 Y 2.90-3.02, 1 Si 3.09

Computed properties:
Uncorrected formation energy (eV per atom): -0.778
Total magnetic moment (μB per cell): 4.65
Symmetry: I4/mcm (140)
DOS(E_F) (states/eV/atom): 1.054

=====

Entry 4:
Density functional theory data (GGA-PBE) for In2AsPt after structural relaxation.

abc: 7.4521 7.4521 7.4521
angles: 30.31 30.31 30.31
Last column: nearest neighbours and their distance in Å.
Sites, in units of the cell vectors:
1 In 0.0077 0.0077 0.0077  3 As 3.03, 3 In 3.21
2 In 0.2335 0.2335 0.2335  3 Pt 2.79
3 As 0.7694 0.7694 0.7694  3 Pt 2.52
4 Pt 0.4894 0.4894 0.4894  3 As 2.52, 3 In 2.79

Computed properties:
Total magnetic moment (μB per cell): 0.00
Symmetry: R3m (160)
DOS(E_F) (states/eV/atom): 0.513
Formation energy from the elements (eV per atom): -0.17

=====

Entry 5:
Density functional theory data (GGA-PBE) for InSe after structural relaxation.

abc: 5.1942 5.1942 5.1942
angles: 60.00 60.00 60.00
Last column: nearest neighbours and their distance in Å.
Sites, in units of the cell vectors:
1 Se 0.5000 0.5000 0.5000  4 In 3.18, 4 Se 3.18
2 Se 0.7500 0.7500 0.7500  4 Se 3.18, 4 In 3.18
3 In 0.0000 0.0000 0.0000  4 Se 3.18, 4 In 3.18
4 In 0.2500 0.2500 0.2500  4 In 3.18, 4 Se 3.18

Computed properties:
Uncorrected formation energy (eV per atom): 0.095
Total magnetic moment (μB per cell): 0.00
Symmetry: Fd-3m (227)
DOS(E_F) (states/eV/atom): 1.041

=====

Entry 6:
Density functional theory data (GGA-PBE) for Ti2As2Ir after structural relaxation.

abc: 6.6921 6.6921 3.5330
angles: 90.00 90.00 90.00
Last column: nearest neighbours and their distance in Å.
Sites, in units of the cell vectors:
1 Ti 0.1543 0.6543 0.5000  6 As 2.57-2.69
2 Ir 0.0000 0.0000 0.0000  4 As 2.56
3 As 0.8519 0.6481 0.0000  2 Ir 2.56, 6 Ti 2.57-2.69, 1 As 2.80
4 Ir 0.5000 0.5000 0.0000  4 As 2.56
5 As 0.6481 0.1481 0.0000  2 Ir 2.56, 6 Ti 2.57-2.69, 1 As 2.80
6 Ti 0.3457 0.1543 0.5000  6 As 2.57-2.69
7 Ti 0.6543 0.8457 0.5000  6 As 2.57-2.69
8 Ti 0.8457 0.3457 0.5000  6 As 2.57-2.69
9 As 0.1481 0.3519 0.0000  2 Ir 2.56, 6 Ti 2.57-2.69, 1 As 2.80
10 As 0.3519 0.8519 0.0000  2 Ir 2.56, 6 Ti 2.57-2.69, 1 As 2.80

Computed properties:
Total magnetic moment (μB per cell): 0.00
Symmetry: P4/mbm (127)
DOS(E_F) (states/eV/atom): 1.140
Energy above the most stable polymorph in this dataset (eV per atom): 0.000
Formation energy from the elements (eV per atom): -0.55

=====

Entry 7:
Density functional theory data (GGA-PBE) for TaAu after structural relaxation.

abc: 4.6773 4.6773 4.6773
angles: 60.01 60.01 60.01
Last column: nearest neighbours and their distance in Å.
Sites, in units of the cell vectors:
1 Ta 0.1250 0.1250 0.1250  4 Au 2.86, 4 Ta 2.86-2.87
2 Ta 0.8750 0.8750 0.8750  4 Au 2.86, 4 Ta 2.86-2.87
3 Au 0.3750 0.3750 0.3750  4 Ta 2.86, 4 Au 2.86
4 Au 0.6250 0.6250 0.6250  4 Ta 2.86, 4 Au 2.86

Computed properties:
Total magnetic moment (μB per cell): 0.66
Symmetry: Fd-3m (227)
DOS(E_F) (states/eV/atom): 1.549
Formation energy from the elements (eV per atom): 0.29

=====

Entry 8:
Density functional theory data (GGA-PBE) for RbMn2OsPd after structural relaxation.

abc: 4.7809 4.7332 4.7809
angles: 90.00 90.00 90.00
Last column: nearest neighbours and their distance in Å.
Sites, in units of the cell vectors:
1 Os 0.0000 0.5000 0.0000  2 Rb 2.37
2 Mn 0.5000 0.0000 0.0000  2 Rb 2.39
3 Pd 0.5000 0.5000 0.5000  8 Mn 3.36, 4 Os 3.38
4 Mn 0.0000 0.0000 0.5000  2 Rb 2.39
5 Rb 0.0000 0.0000 0.0000  2 Os 2.37, 4 Mn 2.39

Computed properties:
Total magnetic moment (μB per cell): 8.89
Symmetry: P4/mmm (123)
DOS(E_F) (states/eV/atom): 0.802
Formation energy from the elements (eV per atom): 2.83

=====

- Among the records above, which one has the lowest DOS(E_F)?
  In2AsPt

=====

- Which of these has the highest total magnetic moment?
  PuPd2Pb

=====

- The highest DOS(E_F) belongs to which entry?
  PuPd2Pb

=====

- Look up the total magnetic moment of the fourth one.
  0.00 μB per cell